# PBE MnIn2Sb, optimized geometry
# formation energy from raw total energies = 0.229 eV/atom
# Fermi-level density of states = 0.527 states/eV/atom
# mass density = 6.87 g cm⁻³
# E = -4.463 eV/atom
data_MnIn2Sb
_chemical_formula_sum 'Mn2 In4 Sb2'
_space_group_name_H-M_alt 'C 1 2/m 1'
_space_group_IT_number 12
_space_group_name_Hall '-C 2y'
_cell_length_a 5.908
_cell_length_b 11.186
_cell_length_c 4.026
_cell_angle_alpha 90.00
_cell_angle_beta 132.37
_cell_angle_gamma 90.00
loop_
_atom_site_label
_atom_site_type_symbol
_atom_site_fract_x
_atom_site_fract_y
_atom_site_fract_z
_atom_site_occupancy
Mn1 Mn 0.000 0.000 0.000 1
In1 In 0.250 0.250 0.500 1
Sb1 Sb 0.000 0.500 0.000 1